Entry 1:
SnGe2Pt after structural relaxation. Source: the Alexandria database, functional PBE.

Output
Final energy = -4.6983 eV/atom

Unit cell a=6.7772 b=6.7772 c=6.7772 alpha=90.00 beta=90.00 gamma=90.00
Closest atoms and distances in Å follow each position.
Space group Fm-3m (No. 225)
Unique sites:
1 Sn 0.0000 0.0000 0.0000 [4 per cell]  8 Ge 2.93
2 Ge 0.2500 0.2500 0.2500 [8 per cell]  4 Sn 2.93, 4 Pt 2.93
3 Pt 0.0000 0.0000 0.5000 [4 per cell]  8 Ge 2.93

=====

Entry 2:
Dy6ZnSe4 after structural relaxation. Source: the Alexandria database, functional PBE.

Output
Formation energy from raw total energies = -1.336 eV per atom

Unit cell a=4.0183 b=13.3430 c=20.7134 alpha=90.00 beta=90.00 gamma=90.00
Closest atoms and distances in Å follow each position.
Space group Cmcm (No. 63)
Unique sites:
1 Dy 0.0000 0.0000 0.0000 [4 per cell]  6 Se 2.83-2.86
2 Dy 0.0000 0.1723 0.2500 [4 per cell]  2 Se 2.84, 2 Zn 2.95
3 Dy 0.0000 0.2738 0.5897 [8 per cell]  5 Se 2.85-2.91
4 Dy 0.0000 0.4453 0.1671 [8 per cell]  3 Se 2.87-2.88, 2 Zn 3.03
5 Zn 0.0000 0.1655 0.7500 [4 per cell]  6 Dy 2.95-3.03
6 Se 0.0000 0.0849 0.1251 [8 per cell]  6 Dy 2.83-2.87
7 Se 0.0000 0.3599 0.0392 [8 per cell]  6 Dy 2.86-2.91

=====

Entry 3:
Al2CdIr after structural relaxation. Source: the Alexandria database, functional PBE.

Output
Final energy = -4.5656 eV/atom

Unit cell a=8.7805 b=2.9881 c=5.1164 alpha=90.00 beta=99.88 gamma=90.00
Closest atoms and distances in Å follow each position.
Space group C2/m (No. 12)
Unique sites:
1 Al 0.2343 0.0000 0.2093 [4 per cell]  3 Ir 2.62-2.73, 2 Al 2.66, 1 Cd 2.74
2 Cd 0.0000 0.0000 0.5000 [2 per cell]  6 Al 2.74-2.95, 4 Ir 2.96, 2 Cd 2.99
3 Ir 0.0000 0.5000 0.0000 [2 per cell]  6 Al 2.62-2.73

=====

Entry 4:
Pm4SeCl5 after structural relaxation. Source: the Alexandria database, functional PBE.

Output
Formation energy from raw total energies = -1.845 eV per atom

Unit cell a=18.0344 b=3.9614 c=8.3630 alpha=90.00 beta=105.49 gamma=90.00
Closest atoms and distances in Å follow each position.
Space group C2/m (No. 12)
Unique sites:
1 Pm 0.0021 0.0000 0.2661 [4 per cell]  2 Se 2.79, 4 Cl 2.85-3.00
2 Pm 0.1578 0.5000 0.5843 [4 per cell]  1 Se 2.74, 5 Cl 2.85-2.93
3 Se 0.0000 0.5000 0.5000 [2 per cell]  6 Pm 2.74-2.79
4 Cl 0.0000 0.5000 0.0000 [2 per cell]  4 Pm 2.97
5 Cl 0.1620 0.0000 0.8323 [4 per cell]  3 Pm 2.85
6 Cl 0.1739 0.0000 0.3372 [4 per cell]  4 Pm 2.93-3.00

=====

Entry 5:
RbCrI3 after structural relaxation. Source: the Alexandria database, functional PBE.

Output
Formation energy from raw total energies = 0.344 eV per atom

Unit cell a=6.7503 b=6.7503 c=6.7503 alpha=90.00 beta=90.00 gamma=90.00
Closest atoms and distances in Å follow each position.
Space group Pm-3m (No. 221)
Unique sites:
1 Rb 0.0000 0.0000 0.0000 [1 per cell]  6 I 3.38
2 Cr 0.5000 0.5000 0.5000 [1 per cell]  12 I 4.77
3 I 0.0000 0.0000 0.5000 [3 per cell]  2 Rb 3.38

=====

Entry 6:
PrNd7Sm3 after structural relaxation. Source: the Alexandria database, functional PBE.

Output
Final energy = -4.5810 eV/atom

Unit cell a=7.2831 b=7.2831 c=8.7882 alpha=90.00 beta=90.00 gamma=120.00
Closest atoms and distances in Å follow each position.
Space group P3m1 (No. 156)
Unique sites:
1 Pr 0.0000 0.0000 0.0000 [1 per cell]  9 Nd 3.59-3.64, 3 Sm 3.65
2 Nd 0.0007 0.5004 0.9893 [3 per cell]  2 Sm 3.58, 7 Nd 3.59-3.67, 2 Pr 3.64
3 Nd 0.3328 0.1664 0.3316 [3 per cell]  2 Sm 3.57, 1 Pr 3.59, 8 Nd 3.64-3.67
4 Nd 0.3333 0.6667 0.3208 [1 per cell]  9 Nd 3.59-3.64, 3 Sm 3.65
5 Sm 0.1668 0.3337 0.6600 [3 per cell]  5 Nd 3.57-3.65, 4 Sm 3.64-3.65, 1 Pr 3.65

=====

The records above yield D(E_F) values of 0.373 6.850 1.373 3.250 13.124 16.823 states/eV/f.u., respectively.